Entry 1:
# La3Tm2PaAs6, relaxed, DFT GGA-PBE
data_La3Tm2PaAs6
_chemical_formula_sum 'La6 Tm4 Pa2 As12'
_space_group_name_H-M_alt 'C 1 2/m 1'
_space_group_IT_number 12
_cell_length_a 7.2766
_cell_length_b 12.6045
_cell_length_c 7.3476
_cell_angle_alpha 90.00
_cell_angle_beta 109.25
_cell_angle_gamma 90.00
loop_
_space_group_symop_operation_xyz
'x,y,z'
'-x,-y,-z'
'-x,y,-z'
'x,-y,z'
'x+1/2,y+1/2,z'
'-x+1/2,-y+1/2,-z'
'-x+1/2,y+1/2,-z'
'x+1/2,-y+1/2,z'
loop_
_atom_site_label
_atom_site_type_symbol
_atom_site_fract_x
_atom_site_fract_y
_atom_site_fract_z
_atom_site_occupancy
La1 La 0.0000 0.0000 0.0000 1
La2 La 0.0000 0.3323 0.0000 1
Tm1 Tm 0.0000 0.1663 0.5000 1
Pa1 Pa 0.0000 0.5000 0.5000 1
As1 As 0.2418 0.3349 0.7305 1
As2 As 0.2470 0.0000 0.7304 1
# raw total energy = -6.560 eV per atom
# ΔE_f = -1.467 eV per atom
# magnetic moment = 0.00 μB per formula unit



Entry 2:
# LaUPa2As4, relaxed, DFT GGA-PBE
data_LaUPa2As4
_chemical_formula_sum 'La2 U2 Pa4 As8'
_space_group_name_H-M_alt 'I -4 m 2'
_space_group_IT_number 119
_space_group_name_Hall 'I -4 -2'
_cell_length_a 5.8753
_cell_length_b 5.8753
_cell_length_c 11.7620
_cell_angle_alpha 90.00
_cell_angle_beta 90.00
_cell_angle_gamma 90.00
loop_
_atom_site_label
_atom_site_type_symbol
_atom_site_fract_x
_atom_site_fract_y
_atom_site_fract_z
_atom_site_occupancy
La1 La 0.0000 0.0000 0.0000 1
U1 U 0.0000 0.5000 0.7500 1
Pa1 Pa 0.0000 0.0000 0.5000 1
Pa2 Pa 0.0000 0.5000 0.2500 1
As1 As 0.0000 0.0000 0.2559 1
As2 As 0.0000 0.5000 0.0006 1
# raw total energy = -7.783 eV per atom
# ΔE_f = -1.057 eV per atom
# magnetic moment = 3.27 μB per formula unit



Entry 3:
# La2YPaAs4, relaxed, DFT GGA-PBE
data_La2YPaAs4
_chemical_formula_sum 'La2 Y1 Pa1 As4'
_space_group_name_H-M_alt 'P 1 2/m 1'
_space_group_IT_number 10
_cell_length_a 7.2838
_cell_length_b 4.2310
_cell_length_c 7.3758
_cell_angle_alpha 90.00
_cell_angle_beta 109.36
_cell_angle_gamma 90.00
loop_
_space_group_symop_operation_xyz
'x,y,z'
'-x,-y,-z'
'-x,y,-z'
'x,-y,z'
loop_
_atom_site_label
_atom_site_type_symbol
_atom_site_fract_x
_atom_site_fract_y
_atom_site_fract_z
_atom_site_occupancy
La1 La 0.0000 0.0000 0.0000 1
La2 La 0.5000 0.5000 0.0000 1
Y1 Y 0.0000 0.5000 0.5000 1
Pa1 Pa 0.5000 0.0000 0.5000 1
As1 As 0.2494 0.0000 0.7327 1
As2 As 0.2594 0.5000 0.2690 1
# raw total energy = -6.993 eV per atom
# ΔE_f = -1.441 eV per atom
# magnetic moment = 0.00 μB per formula unit



Entry 4:
# La3Zr2PaAs6, relaxed, DFT GGA-PBE
data_La3Zr2PaAs6
_chemical_formula_sum 'La6 Zr4 Pa2 As12'
_space_group_name_H-M_alt 'C 1 2/m 1'
_space_group_IT_number 12
_cell_length_a 7.1276
_cell_length_b 12.3475
_cell_length_c 7.2709
_cell_angle_alpha 90.00
_cell_angle_beta 109.09
_cell_angle_gamma 90.00
loop_
_space_group_symop_operation_xyz
'x,y,z'
'-x,-y,-z'
'-x,y,-z'
'x,-y,z'
'x+1/2,y+1/2,z'
'-x+1/2,-y+1/2,-z'
'-x+1/2,y+1/2,-z'
'x+1/2,-y+1/2,z'
loop_
_atom_site_label
_atom_site_type_symbol
_atom_site_fract_x
_atom_site_fract_y
_atom_site_fract_z
_atom_site_occupancy
La1 La 0.0000 0.0000 0.0000 1
La2 La 0.0000 0.3347 0.0000 1
Zr1 Zr 0.0000 0.1668 0.5000 1
Pa1 Pa 0.0000 0.5000 0.5000 1
As1 As 0.2357 0.0000 0.7220 1
As2 As 0.2439 0.3309 0.7250 1
# raw total energy = -7.101 eV per atom
# ΔE_f = -1.328 eV per atom
# magnetic moment = 0.00 μB per formula unit



Entry 5:
# LaAsPb, relaxed, DFT GGA-PBE
data_LaAsPb
_chemical_formula_sum 'La1 As1 Pb1'
_space_group_name_H-M_alt 'P 3 m 1'
_space_group_IT_number 156
_cell_length_a 4.9409
_cell_length_b 4.9409
_cell_length_c 4.1157
_cell_angle_alpha 90.00
_cell_angle_beta 90.00
_cell_angle_gamma 120.00
loop_
_space_group_symop_operation_xyz
'x,y,z'
'-y,x-y,z'
'-x+y,-x,z'
'-y,-x,z'
'-x+y,y,z'
'x,x-y,z'
loop_
_atom_site_label
_atom_site_type_symbol
_atom_site_fract_x
_atom_site_fract_y
_atom_site_fract_z
_atom_site_occupancy
La1 La 0.0000 0.0000 0.0000 1
As1 As 0.3333 0.6667 0.5444 1
Pb1 Pb 0.6667 0.3333 0.4744 1
# ΔE to the lowest computed polymorph = 213 meV per atom
# raw total energy = -5.001 eV per atom
# ΔE_f = -0.573 eV per atom
# magnetic moment = 0.00 μB per formula unit



Entry 6:
# LaAsPb, relaxed, DFT GGA-PBE
data_LaAsPb
_chemical_formula_sum 'La6 As6 Pb6'
_space_group_name_H-M_alt 'R -3 m'
_space_group_IT_number 166
_space_group_name_Hall '-R 3 2"'
_cell_length_a 5.3228
_cell_length_b 5.3228
_cell_length_c 23.6360
_cell_angle_alpha 90.00
_cell_angle_beta 90.00
_cell_angle_gamma 120.00
loop_
_atom_site_label
_atom_site_type_symbol
_atom_site_fract_x
_atom_site_fract_y
_atom_site_fract_z
_atom_site_occupancy
La1 La 0.0000 0.0000 0.0982 1
As1 As 0.0000 0.0000 0.2221 1
Pb1 Pb 0.0000 0.0000 0.3422 1
# ΔE to the lowest computed polymorph = 0 meV per atom
# raw total energy = -5.214 eV per atom
# ΔE_f = -0.786 eV per atom
# magnetic moment = 0.00 μB per formula unit



Entry 7:
# La2AsPb2, relaxed, DFT GGA-PBE
data_La2AsPb2
_chemical_formula_sum 'La4 As2 Pb4'
_space_group_name_H-M_alt 'P 4/m b m'
_space_group_IT_number 127
_space_group_name_Hall '-P 4 2ab'
_cell_length_a 8.0890
_cell_length_b 8.0890
_cell_length_c 4.7363
_cell_angle_alpha 90.00
_cell_angle_beta 90.00
_cell_angle_gamma 90.00
loop_
_atom_site_label
_atom_site_type_symbol
_atom_site_fract_x
_atom_site_fract_y
_atom_site_fract_z
_atom_site_occupancy
La1 La 0.1725 0.3275 0.0000 1
As1 As 0.0000 0.0000 0.5000 1
Pb1 Pb 0.1351 0.6351 0.5000 1
# ΔE to the lowest computed polymorph = 119 meV per atom
# raw total energy = -4.906 eV per atom
# ΔE_f = -0.522 eV per atom
# magnetic moment = 0.00 μB per formula unit



Entry 8:
# La5AsPb2, relaxed, DFT GGA-PBE
data_La5AsPb2
_chemical_formula_sum 'La10 As2 Pb4'
_space_group_name_H-M_alt 'P b a m'
_space_group_IT_number 55
_cell_length_a 8.7942
_cell_length_b 13.0203
_cell_length_c 4.7071
_cell_angle_alpha 90.00
_cell_angle_beta 90.00
_cell_angle_gamma 90.00
loop_
_space_group_symop_operation_xyz
'x,y,z'
'-x,-y,-z'
'-x,-y,z'
'x,y,-z'
'x+1/2,-y+1/2,-z'
'-x+1/2,y+1/2,z'
'-x+1/2,y+1/2,-z'
'x+1/2,-y+1/2,z'
loop_
_atom_site_label
_atom_site_type_symbol
_atom_site_fract_x
_atom_site_fract_y
_atom_site_fract_z
_atom_site_occupancy
La1 La 0.0000 0.0000 0.0000 1
La2 La 0.1438 0.2931 0.0000 1
La3 La 0.1969 0.5652 0.5000 1
As1 As 0.0000 0.5000 0.0000 1
Pb1 Pb 0.0801 0.8246 0.5000 1
# raw total energy = -5.354 eV per atom
# ΔE_f = -0.766 eV per atom
# magnetic moment = 0.00 μB per formula unit



Entry 9:
# La2AsPb, relaxed, DFT GGA-PBE
data_La2AsPb
_chemical_formula_sum 'La2 As1 Pb1'
_space_group_name_H-M_alt 'P 4/m m m'
_space_group_IT_number 123
_space_group_name_Hall '-P 4 2'
_cell_length_a 4.5358
_cell_length_b 4.5358
_cell_length_c 6.4138
_cell_angle_alpha 90.00
_cell_angle_beta 90.00
_cell_angle_gamma 90.00
loop_
_atom_site_label
_atom_site_type_symbol
_atom_site_fract_x
_atom_site_fract_y
_atom_site_fract_z
_atom_site_occupancy
La1 La 0.0000 0.0000 0.0000 1
La2 La 0.5000 0.5000 0.5000 1
As1 As 0.0000 0.0000 0.5000 1
Pb1 Pb 0.5000 0.5000 0.0000 1
# ΔE to the lowest computed polymorph = 149 meV per atom
# raw total energy = -5.476 eV per atom
# ΔE_f = -0.923 eV per atom
# magnetic moment = 0.00 μB per formula unit



Entry 10:
# La2AsPb, relaxed, DFT GGA-PBE
data_La2AsPb
_chemical_formula_sum 'La2 As1 Pb1'
_space_group_name_H-M_alt 'P 1 2/m 1'
_space_group_IT_number 10
_cell_length_a 3.6982
_cell_length_b 3.7694
_cell_length_c 8.3942
_cell_angle_alpha 90.00
_cell_angle_beta 92.49
_cell_angle_gamma 90.00
loop_
_space_group_symop_operation_xyz
'x,y,z'
'-x,-y,-z'
'-x,y,-z'
'x,-y,z'
loop_
_atom_site_label
_atom_site_type_symbol
_atom_site_fract_x
_atom_site_fract_y
_atom_site_fract_z
_atom_site_occupancy
La1 La 0.0468 0.0000 0.2857 1
As1 As 0.5000 0.5000 0.5000 1
Pb1 Pb 0.5000 0.5000 0.0000 1
# ΔE to the lowest computed polymorph = 138 meV per atom
# raw total energy = -5.487 eV per atom
# ΔE_f = -0.934 eV per atom
# magnetic moment = 0.00 μB per formula unit



Entry 11:
# LaAs3Pb, relaxed, DFT GGA-PBE
data_LaAs3Pb
_chemical_formula_sum 'La1 As3 Pb1'
_space_group_name_H-M_alt 'P m -3 m'
_space_group_IT_number 221
_space_group_name_Hall '-P 4 2 3'
_cell_length_a 5.5949
_cell_length_b 5.5949
_cell_length_c 5.5949
_cell_angle_alpha 90.00
_cell_angle_beta 90.00
_cell_angle_gamma 90.00
loop_
_atom_site_label
_atom_site_type_symbol
_atom_site_fract_x
_atom_site_fract_y
_atom_site_fract_z
_atom_site_occupancy
La1 La 0.0000 0.0000 0.0000 1
As1 As 0.0000 0.0000 0.5000 1
Pb1 Pb 0.5000 0.5000 0.5000 1
# ΔE to the lowest computed polymorph = 145 meV per atom
# raw total energy = -4.131 eV per atom
# ΔE_f = 0.386 eV per atom
# magnetic moment = 0.00 μB per formula unit



Entry 12:
# La2AsPb, relaxed, DFT GGA-PBE
data_La2AsPb
_chemical_formula_sum 'La6 As3 Pb3'
_space_group_name_H-M_alt 'R -3 m'
_space_group_IT_number 166
_space_group_name_Hall '-R 3 2"'
_cell_length_a 4.3118
_cell_length_b 4.3118
_cell_length_c 24.3751
_cell_angle_alpha 90.00
_cell_angle_beta 90.00
_cell_angle_gamma 120.00
loop_
_atom_site_label
_atom_site_type_symbol
_atom_site_fract_x
_atom_site_fract_y
_atom_site_fract_z
_atom_site_occupancy
La1 La 0.0000 0.0000 0.2390 1
As1 As 0.0000 0.0000 0.5000 1
Pb1 Pb 0.0000 0.0000 0.0000 1
# ΔE to the lowest computed polymorph = 36 meV per atom
# raw total energy = -5.589 eV per atom
# ΔE_f = -1.036 eV per atom
# magnetic moment = 0.00 μB per formula unit